The following is a DFT calculation (GGA-PBE) of a relaxed K2OsCl crystal.

a = 3.2688 Å, b = 3.2688 Å, c = 10.3212 Å
α = 81.21°, β = 81.21°, γ = 59.53°
Last column: nearest neighbours and their distance in Å.
Fractional positions:
K (0.9901, 0.9901, 0.0281)  3 Cl 2.93-2.94, 6 K 3.25-3.27
K (0.5099, 0.5099, 0.4719)  3 Cl 2.93-2.94, 6 K 3.25-3.27
Os (0.7500, 0.7500, 0.7500)  6 Os 3.25-3.27, 6 K 3.39-3.40
Cl (0.2500, 0.2500, 0.2500)  6 K 2.93-2.94, 6 Cl 3.25-3.27

## Properties
M_tot = 1.18 μB per formula unit
Calculated total energy = -0.25455 Ry per atom
D(E_F) = 2.2 states/eV/cell

The following is a DFT calculation (GGA-PBE) of a relaxed Y4Ho5In crystal.

a = 5.7846 Å, b = 8.0144 Å, c = 8.0144 Å
α = 82.52°, β = 68.85°, γ = 68.85°
Last column: nearest neighbours and their distance in Å.
Fractional positions:
Y (0.4575, 0.3144, 0.6857)  3 Ho 3.33-3.54, 1 In 3.67
Y (0.7719, 0.6857, 0.6856)  3 Ho 3.33-3.54, 1 In 3.67
Y (0.1433, 0.3143, 0.3144)  3 Ho 3.33-3.54, 1 In 3.67
Y (0.4577, 0.6856, 0.3143)  3 Ho 3.33-3.54, 1 In 3.67
Ho (0.7704, 0.3702, 0.9999)  1 In 3.08, 1 Ho 3.22, 2 Y 3.33
Ho (0.1406, 0.9999, 0.6298)  1 In 3.08, 1 Ho 3.22, 2 Y 3.33
Ho (0.7703, 0.0001, 0.3702)  1 In 3.08, 1 Ho 3.22, 2 Y 3.33
Ho (0.1405, 0.6298, 0.0001)  1 In 3.08, 1 Ho 3.22, 2 Y 3.33
Ho (0.6703, 0.0000, 0.0000)  2 In 2.79-2.99
In (0.1879, 0.0000, 0.0000)  6 Ho 2.79-3.08

## Properties
M_tot = 0.00 μB per formula unit
ΔE_f = 0.10 eV per atom
D(E_F) = 14.2 states/eV/cell

The following is a DFT calculation (GGA-PBE) of a relaxed NaCa2Mg2 crystal.

a = 4.2758 Å, b = 4.2758 Å, c = 10.1853 Å
α = 77.88°, β = 77.88°, γ = 90.00°
Last column: nearest neighbours and their distance in Å.
Fractional positions:
Na (0.0000, 0.0000, 0.0000)  8 Ca 3.69
Ca (0.3913, 0.3913, 0.2174)  4 Mg 3.48, 4 Na 3.69
Ca (0.6087, 0.6087, 0.7826)  4 Mg 3.48, 4 Na 3.69
Mg (0.7500, 0.2500, 0.5000)  4 Mg 3.02
Mg (0.2500, 0.7500, 0.5000)  4 Mg 3.02

## Properties
M_tot = 0.00 μB per formula unit
ΔE_f = 0.15 eV per atom
D(E_F) = 3.7 states/eV/cell